# Gd2Th4C (PBE, relaxed)
data_Gd2Th4C
_symmetry_space_group_name_H-M 'P 1'
_symmetry_Int_Tables_number 1
_symmetry_space_group_name_Hall 'P 1'
_cell_length_a 5.122
_cell_length_b 5.122
_cell_length_c 9.282
_cell_angle_alpha 73.98
_cell_angle_beta 73.98
_cell_angle_gamma 90.00
loop_
_atom_site_label
_atom_site_fract_x
_atom_site_fract_y
_atom_site_fract_z
C1 0.000 0.000 0.000
Th1 0.000 0.500 0.000
Gd1 0.653 0.653 0.695
Gd2 0.347 0.347 0.305
Th2 0.861 0.861 0.279
Th3 0.139 0.139 0.721
Th4 0.500 0.000 0.000
# E = -66.3 eV/cell
# Energy of formation from the pure elements = 0.72 eV/f.u.
# Symmetry = I4/mmm, No. 139